Density functional theory data (PBE) for crystalline NaCoSn2Ge at its relaxed geometry.

- Energy of formation from the pure elements: 0.9589 eV per atom

Geometry as CIF:
```
data_NaCoSn2Ge
_cell_length_a 5.308
_cell_length_b 5.308
_cell_length_c 5.213
_cell_angle_alpha 90.00
_cell_angle_beta 90.00
_cell_angle_gamma 90.00
_symmetry_space_group_name_H-M 'P 4/m m m'
_symmetry_Int_Tables_number 123
_symmetry_space_group_name_Hall '-P 4 2'
loop_
_atom_site_label
_atom_site_type_symbol
_atom_site_fract_x
_atom_site_fract_y
_atom_site_fract_z
_atom_site_occupancy
Na1 Na 0.000 0.000 0.000 1
Co1 Co 0.500 0.500 0.000 1
Sn1 Sn 0.000 0.500 0.500 1
Ge1 Ge 0.000 0.000 0.500 1
```